VASP calculation (GGA-PBE) on a geometry-optimized SrInRuO6 structure.

Cell and atoms, written as CIF:
```
data_SrInRuO6
_symmetry_space_group_name_H-M 'P 3 1 2'
_symmetry_Int_Tables_number 149
_cell_length_a 5.4791
_cell_length_b 5.4791
_cell_length_c 5.2423
_cell_angle_alpha 90.00
_cell_angle_beta 90.00
_cell_angle_gamma 120.00
loop_
_symmetry_equiv_pos_as_xyz
'x,y,z'
'-y,x-y,z'
'-x+y,-x,z'
'-y,-x,-z'
'-x+y,y,-z'
'x,x-y,-z'
loop_
_atom_site_label
_atom_site_type_symbol
_atom_site_fract_x
_atom_site_fract_y
_atom_site_fract_z
Sr1 Sr 0.0000 0.0000 0.0000
In1 In 0.3333 0.6667 0.5000
Ru1 Ru 0.6667 0.3333 0.5000
O1 O 0.3931 0.0354 0.7094
```

---

# CdReI2O, optimized geometry, DFT GGA-PBE
data_CdReI2O
_symmetry_space_group_name_H-M 'P 4/m m m'
_symmetry_Int_Tables_number 123
_symmetry_space_group_name_Hall '-P 4 2'
_cell_length_a 5.950
_cell_length_b 5.950
_cell_length_c 4.057
_cell_angle_alpha 90.00
_cell_angle_beta 90.00
_cell_angle_gamma 90.00
loop_
_atom_site_label
_atom_site_type_symbol
_atom_site_fract_x
_atom_site_fract_y
_atom_site_fract_z
Cd1 Cd 0.000 0.000 0.000
Re1 Re 0.500 0.500 0.500
I1 I 0.000 0.500 0.000
O1 O 0.000 0.000 0.500
# Offset from the most stable computed form, meV/atom: 1170.8

---

# InAg2I, optimized geometry, DFT GGA-PBE
data_InAg2I
_symmetry_space_group_name_H-M 'P 1 21 1'
_symmetry_Int_Tables_number 4
_cell_length_a 4.943
_cell_length_b 5.942
_cell_length_c 7.640
_cell_angle_alpha 90.00
_cell_angle_beta 92.09
_cell_angle_gamma 90.00
loop_
_symmetry_equiv_pos_as_xyz
'x,y,z'
'-x,y+1/2,-z'
loop_
_atom_site_label
_atom_site_type_symbol
_atom_site_fract_x
_atom_site_fract_y
_atom_site_fract_z
In1 In 0.012 0.000 0.453
Ag1 Ag 0.426 0.365 0.783
Ag2 Ag 0.491 0.757 0.569
I1 I 0.232 0.491 0.119
# Offset from the most stable computed form, meV/atom: 27.6

---

What are the calculated volume values for these records? In order: 15.144, 28.729, 28.032 Å³ per atom.
What are the formation energy from raw total energies values for these records? In order: -1.384, 1.059, -0.043 eV per atom.